No. 1
# AcTlAu

A relaxed structure of AcTlAu (PBE, Alexandria via LeMat-Bulk).

Output
E (eV per atom): -3.81
Space group: No. 12
Formation energy (eV/atom): -0.559
Energy relative to the lowest polymorph listed for this composition (eV/atom): 0.057

Cell lengths 4.8995, 4.9076, 8.7342 Å; angles 89.98, 90.00, 119.95 degrees
Last column: nearest neighbours and their distance in Å.
Positions (direct):
Ac1 0.9995 0.9990 0.2182  6 Au 3.38-3.46, 3 Tl 3.43
Ac2 0.0005 0.0010 0.7818  6 Au 3.38-3.46, 3 Tl 3.43
Au1 0.6665 0.3329 0.0075  3 Au 2.83
Au2 0.3335 0.6671 0.9925  3 Au 2.83
Tl1 0.6665 0.3330 0.4403  3 Tl 3.02
Tl2 0.3335 0.6670 0.5597  3 Tl 3.02

---

No. 2
# AcPrSiAg

A relaxed structure of AcPrSiAg (PBE, Alexandria via LeMat-Bulk).

Output
E (eV per atom): -4.64
Formation energy without anion corrections (eV per atom): -0.3465
Space group: No. 216

Cell lengths 5.3951, 5.3951, 5.3951 Å; angles 60.00, 60.00, 60.00 degrees
Last column: nearest neighbours and their distance in Å.
Positions (direct):
Ag1 0.2500 0.2500 0.2500  4 Pr 3.30, 4 Ac 3.30
Si1 0.7500 0.7500 0.7500  4 Ac 3.30, 4 Pr 3.30
Pr1 0.0000 0.0000 0.0000  4 Si 3.30, 4 Ag 3.30
Ac1 0.5000 0.5000 0.5000  4 Ag 3.30, 4 Si 3.30

---

Repeat the second record exactly.
# AcPrSiAg

A relaxed structure of AcPrSiAg (PBE, Alexandria via LeMat-Bulk).

Output
E (eV per atom): -4.64
Formation energy without anion corrections (eV per atom): -0.3465
Space group: No. 216

Cell lengths 5.3951, 5.3951, 5.3951 Å; angles 60.00, 60.00, 60.00 degrees
Last column: nearest neighbours and their distance in Å.
Positions (direct):
Ag1 0.2500 0.2500 0.2500  4 Pr 3.30, 4 Ac 3.30
Si1 0.7500 0.7500 0.7500  4 Ac 3.30, 4 Pr 3.30
Pr1 0.0000 0.0000 0.0000  4 Si 3.30, 4 Ag 3.30
Ac1 0.5000 0.5000 0.5000  4 Ag 3.30, 4 Si 3.30

---

> Look up the E of the second one.

-4.64 eV per atom